[1]
Compound: LaAg3Rh
Source: the Alexandria database
Functional: PBE-GGA
Structure: optimized geometry

Results
Energy relative to the elements in eV/atom: 1.551
Volume in Å³ per cell: 164.9
SG: Pm-3m (221)
Crystal system: cubic
Total energy in Ha/atom: -0.0961
Excess energy over the best structure of this formula in the dataset in meV per atom: 1234

Cell: 5.4832 5.4832 5.4832 Å, 90.00 90.00 90.00°
With the nearest neighbours (Å) after each atom.
Positions (direct):
La  0.0000  0.0000  0.0000  6 Ag 2.74
Rh  0.5000  0.5000  0.5000  12 Ag 3.88
Ag  0.5000  0.0000  0.0000  2 La 2.74
Ag  0.0000  0.5000  0.0000  2 La 2.74
Ag  0.0000  0.0000  0.5000  2 La 2.74


[2]
Compound: CdCo2Ir
Source: the Alexandria database
Functional: PBE-GGA
Structure: optimized geometry

Results
Energy relative to the elements in eV/atom: 0.288
Volume in Å³ per cell: 58.4
SG: C2/m (12)
Crystal system: monoclinic
Total energy in Ha/atom: -0.2098

Cell: 4.5918 4.5918 4.8741 Å, 80.01 80.01 35.33°
With the nearest neighbours (Å) after each atom.
Positions (direct):
Co  0.4903  0.4903  0.5478  2 Co 2.45, 3 Ir 2.57-2.64
Co  0.0097  0.0097  0.9522  2 Co 2.45, 3 Ir 2.57-2.64
Ir  0.7500  0.7500  0.7500  6 Co 2.57-2.64, 2 Ir 2.79, 4 Cd 2.81
Cd  0.2500  0.2500  0.2500  6 Co 2.76-2.83, 2 Cd 2.79, 4 Ir 2.81


[3]
Compound: Ho2Tm2Ag3
Source: the Alexandria database
Functional: PBE-GGA
Structure: optimized geometry

Results
Energy relative to the elements in eV/atom: -0.175
Volume in Å³ per cell: 181.0
SG: P-1 (2)
Crystal system: triclinic
Total energy in Ha/atom: -0.1464

Cell: 5.0419 5.0355 8.7318 Å, 90.00 107.03 119.85°
With the nearest neighbours (Å) after each atom.
Positions (direct):
Ho  0.7479  0.8737  0.6203  5 Ag 3.06-3.12
Tm  0.2471  0.6235  0.8697  7 Ag 3.07-3.11
Tm  0.7529  0.3765  0.1303  7 Ag 3.07-3.11
Ag  0.0000  0.0000  0.0000  6 Tm 3.10, 2 Ho 3.12
Ag  0.4980  0.7491  0.2482  4 Ho 3.06-3.11, 4 Tm 3.07-3.11
Ag  0.5020  0.2509  0.7518  4 Ho 3.06-3.11, 4 Tm 3.07-3.11
Ho  0.2521  0.1263  0.3797  5 Ag 3.06-3.12


[4]
Compound: TiV2Ag2
Source: the Alexandria database
Functional: PBE-GGA
Structure: optimized geometry

Results
Energy relative to the elements in eV/atom: 0.505
Volume in Å³ per cell: 84.3
SG: I4/mmm (139)
Crystal system: tetragonal
Total energy in Ha/atom: -0.2154
Excess energy over the best structure of this formula in the dataset in meV per atom: 0

Cell: 3.4112 3.4112 7.6342 Å, 77.09 77.09 90.00°
With the nearest neighbours (Å) after each atom.
Positions (direct):
Ag  0.4030  0.4030  0.1940  4 Ti 2.79, 4 V 2.80, 1 Ag 2.81
Ag  0.5970  0.5970  0.8060  4 Ti 2.79, 4 V 2.80, 1 Ag 2.81
V  0.7500  0.2500  0.5000  4 V 2.41
V  0.2500  0.7500  0.5000  4 V 2.41
Ti  0.0000  0.0000  0.0000  8 Ag 2.79


[5]
Compound: CuIr2Br
Source: the Alexandria database
Functional: PBE-GGA
Structure: optimized geometry

Results
Volume in Å³ per cell: 61.5
Formation energy (no corrections) in kJ/mol of formula units: 403
SG: P4/mmm (123)
Crystal system: tetragonal
Total energy in Ha/atom: -0.1775
Excess energy over the best structure of this formula in the dataset in meV per atom: 593

Cell: 3.7748 4.0356 4.0356 Å, 90.00 90.00 90.00°
With the nearest neighbours (Å) after each atom.
Positions (direct):
Ir  0.0000  0.0000  0.0000  4 Cu 2.76, 4 Br 2.76, 4 Ir 2.85
Br  0.5000  0.5000  0.0000  8 Ir 2.76, 4 Cu 2.85
Cu  0.5000  0.0000  0.5000  8 Ir 2.76, 4 Br 2.85
Ir  0.0000  0.5000  0.5000  4 Cu 2.76, 4 Br 2.76, 4 Ir 2.85


[6]
Compound: ReAg2Pb
Source: the Alexandria database
Functional: PBE-GGA
Structure: optimized geometry

Results
Energy relative to the elements in eV/atom: 0.747
Volume in Å³ per cell: 76.3
SG: Cm (8)
Crystal system: monoclinic
Total energy in Ha/atom: -0.1734

Cell: 5.1177 5.1177 5.4323 Å, 81.77 81.77 32.83°
With the nearest neighbours (Å) after each atom.
Positions (direct):
Pb  0.5078  0.5078  0.4720  3 Re 2.86-2.94, 2 Pb 2.89, 5 Ag 3.04-3.12
Re  0.2583  0.2583  0.2583  3 Pb 2.86-2.94, 2 Re 2.89, 7 Ag 2.93-3.19
Ag  0.9925  0.9925  0.9845  5 Ag 2.84-2.91, 2 Re 2.93, 4 Pb 3.04-3.12
Ag  0.7414  0.7414  0.7852  5 Ag 2.84-2.91, 2 Re 2.98, 1 Pb 3.05


[7]
Compound: Al2CoSe
Source: the Alexandria database
Functional: PBE-GGA
Structure: optimized geometry

Results
Volume in Å³ per cell: 59.6
Formation energy (no corrections) in kJ/mol of formula units: 4
SG: Cmmm (65)
Crystal system: orthorhombic
Total energy in Ha/atom: -0.1656

Cell: 4.4852 4.4852 3.1129 Å, 89.98 89.98 107.97°
With the nearest neighbours (Å) after each atom.
Positions (direct):
Se  0.0000  0.5000  0.5000  2 Co 2.64, 8 Al 2.73
Al  0.5000  0.5000  0.0000  2 Al 2.64, 4 Co 2.73, 4 Se 2.73
Al  0.0000  0.0000  0.0000  2 Al 2.64, 4 Se 2.73, 4 Co 2.73
Co  0.5000  0.0000  0.5000  2 Se 2.64, 8 Al 2.73


[8]
Compound: Fe2TeMo
Source: the Alexandria database
Functional: PBE-GGA
Structure: optimized geometry

Results
Volume in Å³ per cell: 60.6
Formation energy (no corrections) in kJ/mol of formula units: 140
SG: Cm (8)
Crystal system: monoclinic
Total energy in Ha/atom: -0.2705
Excess energy over the best structure of this formula in the dataset in meV per atom: 22

Cell: 5.0247 5.0247 4.1472 Å, 65.53 65.53 40.19°
With the nearest neighbours (Å) after each atom.
Positions (direct):
Mo  0.4949  0.4949  0.5055  8 Fe 2.70-2.92, 4 Te 2.80-2.91
Fe  0.0114  0.0114  0.9895  2 Fe 2.58, 4 Mo 2.70, 2 Te 2.77
Fe  0.7380  0.7380  0.7612  2 Fe 2.58, 4 Te 2.70, 2 Mo 2.78
Te  0.2556  0.2556  0.2438  8 Fe 2.70-2.93, 4 Mo 2.80-2.91